Entry P
# Ti2HO, optimized geometry, DFT PBE
data_Ti2HO
_chemical_formula_sum 'Ti8 H4 O4'
_cell_length_a 5.328
_cell_length_b 5.328
_cell_length_c 5.328
_cell_angle_alpha 90.00
_cell_angle_beta 90.00
_cell_angle_gamma 90.00
_space_group_name_H-M_alt 'F m -3 m'
_space_group_IT_number 225
_space_group_name_Hall '-F 4 2 3'
loop_
_atom_site_label
_atom_site_fract_x
_atom_site_fract_y
_atom_site_fract_z
_atom_site_occupancy
Ti1 0.250 0.250 0.250 1
H1 0.000 0.000 0.000 1
O1 0.000 0.000 0.500 1
# Theoretical density: 4.95 g/cm3

=====

Entry Q
# Ti2HO, optimized geometry, DFT PBE
data_Ti2HO
_chemical_formula_sum 'Ti6 H3 O3'
_cell_length_a 2.9242
_cell_length_b 2.9242
_cell_length_c 17.9495
_cell_angle_alpha 90.00
_cell_angle_beta 90.00
_cell_angle_gamma 120.00
_space_group_name_H-M_alt 'R -3 m'
_space_group_IT_number 166
_space_group_name_Hall '-R 3 2"'
loop_
_atom_site_label
_atom_site_fract_x
_atom_site_fract_y
_atom_site_fract_z
_atom_site_occupancy
Ti1 0.0000 0.0000 0.0922 1
H1 0.0000 0.0000 0.0000 1
O1 0.0000 0.0000 0.5000 1
# Theoretical density: 4.23 g/cm3

=====

Entry R
# Ti2HO, optimized geometry, DFT PBE
data_Ti2HO
_chemical_formula_sum 'Ti8 H4 O4'
_cell_length_a 4.548
_cell_length_b 4.548
_cell_length_c 8.877
_cell_angle_alpha 90.00
_cell_angle_beta 90.00
_cell_angle_gamma 90.00
_space_group_name_H-M_alt 'I -4 2 d'
_space_group_IT_number 122
_space_group_name_Hall 'I -4 2bw'
loop_
_atom_site_label
_atom_site_fract_x
_atom_site_fract_y
_atom_site_fract_z
_atom_site_occupancy
Ti1 0.246 0.250 0.125 1
H1 0.000 0.000 0.000 1
O1 0.000 0.000 0.500 1
# Theoretical density: 4.08 g/cm3

=====

Comparing the structures above, entry R comes out on top by 278 meV/atom.